1.
BeSi: relaxed, PBE.

Lattice parameters (Å, degrees): 2.7153 4.0344 4.0343 39.33 109.66 109.66
Last column: nearest neighbours and their distance in Å.
Sites, in units of the cell vectors:
Be (0.9660, 0.3981, 0.7989)  5 Si 2.20-2.35
Si (0.2758, 0.7077, 0.1085)  5 Be 2.20-2.35

## Properties
As for the symmetry: I4mm (107). The calculated total energy is -4.274 eV per atom. The energy above the most stable polymorph in this dataset comes out at 71 meV per atom.

---

2.
Be4Si: relaxed, PBE.

Lattice parameters (Å, degrees): 4.3505 4.3505 4.3505 109.47 109.47 109.47
Last column: nearest neighbours and their distance in Å.
Sites, in units of the cell vectors:
Be (0.5000, 0.0000, 0.0000)  2 Si 2.18
Be (0.5000, 0.5000, 0.5000)  2 Si 2.18
Be (0.0000, 0.5000, 0.0000)  2 Si 2.18
Be (0.0000, 0.0000, 0.5000)  2 Si 2.18
Si (0.0000, 0.0000, 0.0000)  8 Be 2.18

## Properties
As for the symmetry: Im-3m (229). The calculated total energy is -3.309 eV per atom. The energy above the most stable polymorph in this dataset comes out at 494 meV per atom.

---

3.
BeSi: relaxed, PBE.

Lattice parameters (Å, degrees): 3.9241 3.9241 7.6041 82.84 82.84 39.81
Last column: nearest neighbours and their distance in Å.
Sites, in units of the cell vectors:
Be (0.9496, 0.9496, 0.0783)  3 Be 2.15-2.24, 1 Si 2.38
Be (0.5436, 0.5436, 0.7903)  5 Si 2.26-2.36
Be (0.6617, 0.6617, 0.1716)  3 Be 2.15-2.24, 3 Si 2.37-2.39
Si (0.3654, 0.3654, 0.3428)  5 Be 2.39-2.50, 5 Si 2.49-2.67
Si (0.0636, 0.0636, 0.5331)  2 Be 2.36, 3 Si 2.49-2.56
Si (0.2494, 0.2494, 0.9172)  8 Be 2.26-2.44

## Properties
As for the symmetry: Cm (8). The calculated total energy is -4.255 eV per atom. The energy above the most stable polymorph in this dataset comes out at 90 meV per atom.

---

4.
BeSi: relaxed, PBE.

Lattice parameters (Å, degrees): 2.5966 2.5966 8.4657 90.00 90.00 123.73
Last column: nearest neighbours and their distance in Å.
Sites, in units of the cell vectors:
Be (0.0000, 0.0000, 0.9828)  4 Be 2.20-2.45, 2 Si 2.39
Be (0.5000, 0.5000, 0.7672)  4 Be 2.20-2.45, 2 Si 2.39
Si (0.0000, 0.0000, 0.5244)  2 Be 2.39, 6 Si 2.45-2.60
Si (0.5000, 0.5000, 0.2256)  2 Be 2.39, 6 Si 2.45-2.60

## Properties
As for the symmetry: Cmme (67). The calculated total energy is -4.139 eV per atom. The energy above the most stable polymorph in this dataset comes out at 206 meV per atom.

---

5.
Be3Si: relaxed, PBE.

Lattice parameters (Å, degrees): 2.4108 2.4108 6.8359 90.00 90.00 89.79
Last column: nearest neighbours and their distance in Å.
Sites, in units of the cell vectors:
Be (0.0000, 0.0000, 0.9578)  8 Be 2.22-2.41
Be (0.5000, 0.5000, 0.7500)  12 Be 2.22-2.41
Be (0.0000, 0.0000, 0.5422)  8 Be 2.22-2.41
Si (0.5000, 0.5000, 0.2500)  4 Si 2.41, 8 Be 2.62-2.63

## Properties
As for the symmetry: Cmmm (65). The calculated total energy is -3.848 eV per atom. The energy above the most stable polymorph in this dataset comes out at 153 meV per atom.

---

6.
BeSi: relaxed, PBE.

Lattice parameters (Å, degrees): 3.6395 2.3757 3.6423 83.98 119.96 90.00
Last column: nearest neighbours and their distance in Å.
Sites, in units of the cell vectors:
Be (0.3215, 0.2835, 0.7981)  6 Si 2.30-2.55, 2 Be 2.38
Si (0.6569, 0.7851, 0.4688)  6 Be 2.30-2.55, 2 Si 2.38

## Properties
As for the symmetry: Cm (8). The calculated total energy is -4.288 eV per atom. The energy above the most stable polymorph in this dataset comes out at 57 meV per atom.

---

7.
BeSi: relaxed, PBE.

Lattice parameters (Å, degrees): 8.4961 8.4961 3.5074 90.00 90.00 120.00
Last column: nearest neighbours and their distance in Å.
Sites, in units of the cell vectors:
Be (0.6978, 0.1955, 0.2500)  4 Si 2.20-2.31, 2 Be 2.29
Be (0.5022, 0.6978, 0.7500)  4 Si 2.20-2.31, 2 Be 2.29
Be (0.8045, 0.5022, 0.2500)  4 Si 2.20-2.31, 2 Be 2.29
Be (0.3022, 0.8045, 0.7500)  4 Si 2.20-2.31, 2 Be 2.29
Be (0.4978, 0.3022, 0.2500)  4 Si 2.20-2.31, 2 Be 2.29
Be (0.1955, 0.4978, 0.7500)  4 Si 2.20-2.31, 2 Be 2.29
Si (0.9913, 0.3937, 0.2500)  4 Be 2.20-2.31
Si (0.5976, 0.9913, 0.7500)  4 Be 2.20-2.31
Si (0.6063, 0.5976, 0.2500)  4 Be 2.20-2.31
Si (0.0087, 0.6063, 0.7500)  4 Be 2.20-2.31
Si (0.4024, 0.0087, 0.2500)  4 Be 2.20-2.31
Si (0.3937, 0.4024, 0.7500)  4 Be 2.20-2.31

## Properties
As for the symmetry: P6_3/m (176). The calculated total energy is -4.199 eV per atom. The energy above the most stable polymorph in this dataset comes out at 146 meV per atom.

---

8.
Be3Si: relaxed, PBE.

Lattice parameters (Å, degrees): 4.8477 4.8477 3.8772 90.00 90.00 120.00
Last column: nearest neighbours and their distance in Å.
Sites, in units of the cell vectors:
Be (0.8438, 0.6877, 0.2500)  6 Be 2.27-2.34, 4 Si 2.43-2.44
Be (0.3123, 0.1562, 0.2500)  6 Be 2.27-2.34, 4 Si 2.43-2.44
Be (0.8438, 0.1562, 0.2500)  6 Be 2.27-2.34, 4 Si 2.43-2.44
Be (0.1562, 0.3123, 0.7500)  6 Be 2.27-2.34, 4 Si 2.43-2.44
Be (0.6877, 0.8438, 0.7500)  6 Be 2.27-2.34, 4 Si 2.43-2.44
Be (0.1562, 0.8438, 0.7500)  6 Be 2.27-2.34, 4 Si 2.43-2.44
Si (0.3333, 0.6667, 0.2500)  12 Be 2.43-2.44
Si (0.6667, 0.3333, 0.7500)  12 Be 2.43-2.44

## Properties
As for the symmetry: P6_3/mmc (194). The calculated total energy is -3.859 eV per atom. The energy above the most stable polymorph in this dataset comes out at 142 meV per atom.

---

9.
Be3Si: relaxed, PBE.

Lattice parameters (Å, degrees): 7.8265 3.5971 6.2137 90.00 105.41 90.00
Last column: nearest neighbours and their distance in Å.
Sites, in units of the cell vectors:
Be (0.0000, 0.0000, 0.0000)  2 Be 2.20, 6 Si 2.30-2.31
Be (0.0000, 0.5000, 0.5000)  2 Be 2.20, 6 Si 2.30-2.31
Be (0.7078, 0.0000, 0.9022)  5 Be 2.10-2.32
Be (0.2922, 0.0000, 0.0978)  5 Be 2.10-2.32
Be (0.7078, 0.5000, 0.4022)  5 Be 2.10-2.32
Be (0.2922, 0.5000, 0.5978)  5 Be 2.10-2.32
Be (0.4291, 0.0000, 0.8103)  10 Be 2.10-2.34, 1 Si 2.22
Be (0.5709, 0.0000, 0.1897)  10 Be 2.10-2.34, 1 Si 2.22
Be (0.4291, 0.5000, 0.3103)  10 Be 2.10-2.34, 1 Si 2.22
Be (0.5709, 0.5000, 0.6897)  10 Be 2.10-2.34, 1 Si 2.22
Be (0.5000, 0.0000, 0.5000)  6 Be 2.14
Be (0.5000, 0.5000, 0.0000)  6 Be 2.14
Si (0.1346, 0.0000, 0.7129)  7 Be 2.22-2.40
Si (0.8654, 0.0000, 0.2871)  7 Be 2.22-2.40
Si (0.1346, 0.5000, 0.2129)  7 Be 2.22-2.40
Si (0.8654, 0.5000, 0.7871)  7 Be 2.22-2.40

## Properties
As for the symmetry: C2/m (12). The calculated total energy is -3.972 eV per atom. The energy above the most stable polymorph in this dataset comes out at 29 meV per atom.

---

10.
BeSi: relaxed, PBE.

Lattice parameters (Å, degrees): 2.3849 3.4393 5.7966 90.00 90.00 90.00
Last column: nearest neighbours and their distance in Å.
Sites, in units of the cell vectors:
Be (0.0000, 0.0000, 0.9725)  6 Be 2.38, 5 Si 2.39-2.44
Be (0.5000, 0.5000, 0.7775)  6 Be 2.38, 5 Si 2.39-2.44
Si (0.0000, 0.0000, 0.5599)  2 Si 2.38, 5 Be 2.39-2.44
Si (0.5000, 0.5000, 0.1901)  2 Si 2.38, 5 Be 2.39-2.44

## Properties
As for the symmetry: Pmmn (59). The calculated total energy is -4.240 eV per atom. The energy above the most stable polymorph in this dataset comes out at 104 meV per atom.

---

11.
Be2Si3: relaxed, PBE.

Lattice parameters (Å, degrees): 3.6120 3.6120 5.8114 90.00 90.00 120.00
Last column: nearest neighbours and their distance in Å.
Sites, in units of the cell vectors:
Be (0.6667, 0.3333, 0.2119)  7 Si 2.30-2.42
Be (0.3333, 0.6667, 0.7881)  7 Si 2.30-2.42
Si (0.0000, 0.0000, 0.0000)  6 Be 2.42
Si (0.6667, 0.3333, 0.6218)  4 Be 2.30-2.38, 3 Si 2.52
Si (0.3333, 0.6667, 0.3782)  4 Be 2.30-2.38, 3 Si 2.52

## Properties
As for the symmetry: P-3m1 (164). The calculated total energy is -4.409 eV per atom.

---

12.
Be3Si: relaxed, PBE.

Lattice parameters (Å, degrees): 3.6681 3.8345 7.2247 102.09 96.68 111.23
Last column: nearest neighbours and their distance in Å.
Sites, in units of the cell vectors:
Be (0.8114, 0.0269, 0.1149)  3 Be 2.13-2.32, 4 Si 2.20-2.32
Be (0.1886, 0.9731, 0.8851)  3 Be 2.13-2.32, 4 Si 2.20-2.32
Be (0.0700, 0.5142, 0.3646)  5 Be 2.09-2.28, 2 Si 2.28-2.32
Be (0.9300, 0.4858, 0.6354)  5 Be 2.09-2.28, 2 Si 2.28-2.32
Be (0.7142, 0.9292, 0.4152)  6 Be 2.12-2.32, 1 Si 2.19
Be (0.2858, 0.0707, 0.5848)  6 Be 2.12-2.32, 1 Si 2.19
Si (0.5186, 0.5789, 0.8368)  7 Be 2.19-2.32
Si (0.4814, 0.4211, 0.1632)  7 Be 2.19-2.32

## Properties
As for the symmetry: P-1 (2). The calculated total energy is -3.965 eV per atom. The energy above the most stable polymorph in this dataset comes out at 36 meV per atom.

---

13.
Be6Si: relaxed, PBE.

Lattice parameters (Å, degrees): 4.9329 4.9329 4.9329 109.47 109.47 109.47
Last column: nearest neighbours and their distance in Å.
Sites, in units of the cell vectors:
Be (0.2500, 0.7500, 0.5000)  4 Be 2.01
Be (0.5000, 0.7500, 0.2500)  4 Be 2.01
Be (0.2500, 0.5000, 0.7500)  4 Be 2.01
Be (0.7500, 0.2500, 0.5000)  4 Be 2.01
Be (0.5000, 0.2500, 0.7500)  4 Be 2.01
Be (0.7500, 0.5000, 0.2500)  4 Be 2.01
Si (0.0000, 0.0000, 0.0000)  24 Be 3.18

## Properties
As for the symmetry: Im-3m (229). The calculated total energy is -2.634 eV per atom.

---

14.
Be5Si4: relaxed, PBE.

Lattice parameters (Å, degrees): 7.2578 7.2578 4.5876 90.00 90.00 120.00
Last column: nearest neighbours and their distance in Å.
Sites, in units of the cell vectors:
Be (0.0000, 0.7105, 0.2500)  5 Si 2.27-2.42
Be (0.2895, 0.2895, 0.2500)  5 Si 2.27-2.42
Be (0.7105, 0.0000, 0.2500)  5 Si 2.27-2.42
Be (0.0000, 0.2895, 0.7500)  5 Si 2.27-2.42
Be (0.7105, 0.7105, 0.7500)  5 Si 2.27-2.42
Be (0.2895, 0.0000, 0.7500)  5 Si 2.27-2.42
Be (0.6667, 0.3333, 0.0000)  2 Be 2.29, 6 Si 2.50
Be (0.3333, 0.6667, 0.5000)  2 Be 2.29, 6 Si 2.50
Be (0.3333, 0.6667, 0.0000)  2 Be 2.29, 6 Si 2.50
Be (0.6667, 0.3333, 0.5000)  2 Be 2.29, 6 Si 2.50
Si (0.0000, 0.0000, 0.0000)  2 Si 2.29, 6 Be 2.39
Si (0.0000, 0.0000, 0.5000)  2 Si 2.29, 6 Be 2.39
Si (0.0000, 0.3972, 0.2500)  7 Be 2.27-2.50
Si (0.6028, 0.6028, 0.2500)  7 Be 2.27-2.50
Si (0.3972, 0.0000, 0.2500)  7 Be 2.27-2.50
Si (0.0000, 0.6028, 0.7500)  7 Be 2.27-2.50
Si (0.3972, 0.3972, 0.7500)  7 Be 2.27-2.50
Si (0.6028, 0.0000, 0.7500)  7 Be 2.27-2.50

## Properties
As for the symmetry: P6_3/mcm (193). The calculated total energy is -4.031 eV per atom.

---

15.
BeSi: relaxed, PBE.

Lattice parameters (Å, degrees): 2.8354 2.8354 2.8354 90.00 90.00 90.00
Last column: nearest neighbours and their distance in Å.
Sites, in units of the cell vectors:
Be (0.0000, 0.0000, 0.0000)  8 Si 2.46
Si (0.5000, 0.5000, 0.5000)  8 Be 2.46

## Properties
As for the symmetry: Pm-3m (221). The calculated total energy is -4.059 eV per atom. The energy above the most stable polymorph in this dataset comes out at 286 meV per atom.

---

16.
BeSi: relaxed, PBE.

Lattice parameters (Å, degrees): 2.6266 4.5833 2.6261 106.87 90.72 54.18
Last column: nearest neighbours and their distance in Å.
Sites, in units of the cell vectors:
Be (0.8734, 0.5874, 0.1799)  6 Si 2.35-2.42, 4 Be 2.63
Si (0.9378, 0.0252, 0.8964)  6 Be 2.35-2.42, 4 Si 2.63

## Properties
As for the symmetry: P1 (1). The calculated total energy is -4.234 eV per atom. The energy above the most stable polymorph in this dataset comes out at 111 meV per atom.

---

17.
BeSi: relaxed, PBE.

Lattice parameters (Å, degrees): 4.1964 4.1964 4.1964 59.19 59.19 59.19
Last column: nearest neighbours and their distance in Å.
Sites, in units of the cell vectors:
Be (0.1015, 0.1015, 0.1015)  1 Be 2.10, 1 Si 2.24
Be (0.8985, 0.8985, 0.8985)  1 Be 2.10, 1 Si 2.24
Si (0.3180, 0.3180, 0.3180)  1 Be 2.24, 3 Si 2.41
Si (0.6820, 0.6820, 0.6820)  1 Be 2.24, 3 Si 2.41

## Properties
As for the symmetry: R-3m (166). The calculated total energy is -4.068 eV per atom. The energy above the most stable polymorph in this dataset comes out at 276 meV per atom.

---

18.
BeSi: relaxed, PBE.

Lattice parameters (Å, degrees): 3.9876 6.8365 3.8888 90.00 90.00 90.00
Last column: nearest neighbours and their distance in Å.
Sites, in units of the cell vectors:
Be (0.2500, 0.0000, 0.5000)  2 Be 1.99
Be (0.7500, 0.0000, 0.5000)  2 Be 1.99
Be (0.7500, 0.5000, 0.5000)  2 Be 1.99
Be (0.2500, 0.5000, 0.5000)  2 Be 1.99
Si (0.0000, 0.2500, 0.1844)  4 Be 2.33, 2 Si 2.46
Si (0.0000, 0.7500, 0.8156)  4 Be 2.33, 2 Si 2.46
Si (0.5000, 0.2500, 0.8156)  4 Be 2.33, 2 Si 2.46
Si (0.5000, 0.7500, 0.1844)  4 Be 2.33, 2 Si 2.46

## Properties
As for the symmetry: Cmme (67). The calculated total energy is -4.345 eV per atom. The energy above the most stable polymorph in this dataset comes out at 0 meV per atom.

---

19.
Be3Si: relaxed, PBE.

Lattice parameters (Å, degrees): 4.1768 4.1768 4.1768 90.00 90.00 90.00
Last column: nearest neighbours and their distance in Å.
Sites, in units of the cell vectors:
Be (0.5000, 0.0000, 0.0000)  2 Si 2.09
Be (0.0000, 0.5000, 0.0000)  2 Si 2.09
Be (0.0000, 0.0000, 0.5000)  2 Si 2.09
Si (0.0000, 0.0000, 0.0000)  6 Be 2.09

## Properties
As for the symmetry: Pm-3m (221). The calculated total energy is -2.971 eV per atom. The energy above the most stable polymorph in this dataset comes out at 1030 meV per atom.

---

20.
Be3Si: relaxed, PBE.

Lattice parameters (Å, degrees): 2.3902 2.3902 8.0930 90.00 90.00 120.00
Last column: nearest neighbours and their distance in Å.
Sites, in units of the cell vectors:
Be (0.0000, 0.0000, 0.0307)  9 Be 2.25-2.39
Be (0.0000, 0.0000, 0.4693)  9 Be 2.25-2.39
Be (0.6667, 0.3333, 0.2500)  12 Be 2.25-2.39
Si (0.6667, 0.3333, 0.7500)  6 Si 2.39, 6 Be 2.66

## Properties
As for the symmetry: P-6m2 (187). The calculated total energy is -3.815 eV per atom. The energy above the most stable polymorph in this dataset comes out at 186 meV per atom.